(1)
This record from the Alexandria database describes Cd3FeCu after structural relaxation. The functional is PBE.

Cell lengths 4.881, 4.881, 4.881 Å; angles 90.00, 90.00, 90.00 degrees
Site moments in Bohr magnetons follow the coordinates.
Fractional coordinates of all 5 atoms:
Fe (0.500, 0.500, 0.500)  3.21
Cd (0.000, 0.500, 0.000)  0.00
Cu (0.000, 0.000, 0.000)  -0.01
Cd (0.500, 0.000, 0.000)  0.00
Cd (0.000, 0.000, 0.500)  0.00

Computed properties:
- E_form: 73 kJ/mol of atoms
- Volume: 116.3 Å³ per cell
- ΔE to the lowest computed polymorph: 0.000 eV per atom
- Symmetry: No. 221
- Energy: -11.51 eV for the cell shown

---

(2)
This record from the Alexandria database describes Tm2Ga3Cu after structural relaxation. The functional is PBE.

Cell lengths 4.355, 4.355, 7.066 Å; angles 90.00, 90.00, 120.00 degrees
Fractional coordinates of all 6 atoms:
Cu (0.000, 0.000, 0.535)
Ga (0.000, 0.000, 0.949)
Ga (0.667, 0.333, 0.045)
Ga (0.667, 0.333, 0.479)
Tm (0.333, 0.667, 0.732)
Tm (0.333, 0.667, 0.261)

Computed properties:
- E_form: -57 kJ/mol of atoms
- Volume: 116.1 Å³ per cell
- ΔE to the lowest computed polymorph: 0.000 eV per atom
- Symmetry: No. 156
- Energy: -25.65 eV for the cell shown